DFT (PBE-GGA) results for Mn2AlTl after structural relaxation.

The space group is I-42d (No. 122) and the conventional cell measures 3.892, 3.892 and 17.933 Å, with angles of 90.00, 90.00 and 90.00 degrees. The distinct sites, in fractional coordinates, are Mn at (0.140, 0.250, 0.125), Al at (0.000, 0.000, 0.000) and Tl at (0.000, 0.000, 0.500).

Its density of states at the Fermi level is 10.9 states/eV per cell. The total DFT energy (no corrections) is -85.8 eV for the cell shown. The value obtained for the energy of formation from the pure elements is 747 meV per atom.


DFT (PBE-GGA) results for AcIn2P after structural relaxation.

The space group is P4/mmm (No. 123) and the conventional cell measures 4.460, 4.460 and 5.447 Å, with angles of 90.00, 90.00 and 90.00 degrees. The distinct sites, in fractional coordinates, are Ac at (0.000, 0.000, 0.000), In at (0.000, 0.500, 0.500) and P at (0.500, 0.500, 0.000).

Its density of states at the Fermi level is 1.8 states/eV per cell. The total DFT energy (no corrections) is -16.9 eV for the cell shown. The value obtained for the energy of formation from the pure elements is -464 meV per atom.


DFT (PBE-GGA) results for BeAl2As after structural relaxation.

The space group is Immm (No. 71) and the conventional cell measures 3.618, 4.258 and 7.945 Å, with angles of 90.00, 90.00 and 90.00 degrees. The distinct sites, in fractional coordinates, are Be at (0.000, 0.000, 0.000), Al at (0.000, 0.500, 0.260) and As at (0.000, 0.000, 0.500).

Its density of states at the Fermi level is 2.8 states/eV per cell. The total DFT energy (no corrections) is -29.6 eV for the cell shown. The value obtained for the energy of formation from the pure elements is 271 meV per atom.